Entry from Alexandria via LeMat-Bulk: a geometry-optimized Y2ZrMo structure (PBE).

The calculation puts the energy relative to the elements at 0.26 eV per atom. For the distance to the lowest polymorph of the same formula, the calculation gives 0.53 eV/f.u. The calculation puts the density of states at the Fermi level at 4.00 states/eV/f.u.

The structure belongs to space group Pm (No. 6); the cell edges are 3.3066, 4.7450 and 6.4338 Å and the angles 90.00°, 103.97° and 90.00°. The inequivalent atoms are Y at (0.0000, 0.0000, 0.0000), Y at (0.3834, 0.5000, 0.6877), Zr at (0.5978, 0.5000, 0.2464) and Mo at (0.8778, 0.0000, 0.4574).

Entry from Alexandria via LeMat-Bulk: a geometry-optimized Pr2Sn3Pd2 structure (PBE).

The calculation puts the energy relative to the elements at -0.73 eV per atom. For the distance to the lowest polymorph of the same formula, the calculation gives 0.44 eV/f.u. The calculation puts the density of states at the Fermi level at 5.31 states/eV/f.u.

The structure belongs to space group C2/m (No. 12); the cell edges are 11.0398, 4.4819 and 7.4212 Å and the angles 90.00°, 112.95° and 90.00°. The inequivalent atoms are Pr at (0.1502, 0.0000, 0.2919), Sn at (0.0000, 0.5000, 0.5000), Sn at (0.1186, 0.5000, 0.9499) and Pd at (0.1434, 0.0000, 0.7350).

Entry from Alexandria via LeMat-Bulk: a geometry-optimized BaCa2TmAu4 structure (PBE).

The calculation puts the energy relative to the elements at -0.76 eV per atom. The calculation puts the density of states at the Fermi level at 5.65 states/eV/f.u.

The structure belongs to space group R-3m (No. 166, hexagonal axes); the cell edges are 5.1060, 5.1060 and 28.2841 Å and the angles 90.00°, 90.00° and 120.00°. The inequivalent atoms are Ba at (0.0000, 0.0000, 0.0000), Ca at (0.0000, 0.0000, 0.2411), Tm at (0.0000, 0.0000, 0.5000), Au at (0.0000, 0.0000, 0.1333) and Au at (0.0000, 0.0000, 0.3969).